Density functional theory data (GGA-PBE) for a geometry-optimized Ho2ErTm6Sc3 structure.

- DFT formation energy (eV/atom) = 0.044

a b c (Å): 5.969 5.969 11.367
angles (deg): 95.02 95.02 119.95
Positions (direct):
Ho 0.333 0.667 0.000
Ho 0.667 0.333 0.000
Er 0.000 0.000 0.000
Tm 0.914 0.581 0.742
Tm 0.753 0.753 0.258
Tm 0.086 0.419 0.258
Tm 0.581 0.914 0.742
Tm 0.247 0.247 0.742
Tm 0.419 0.086 0.258
Sc 0.167 0.833 0.500
Sc 0.833 0.167 0.500
Sc 0.500 0.500 0.500